# CoSiS3 (GGA-PBE, optimized geometry)
data_CoSiS3
_cell_length_a 4.4834
_cell_length_b 4.4834
_cell_length_c 4.4834
_cell_angle_alpha 90.00
_cell_angle_beta 90.00
_cell_angle_gamma 90.00
_symmetry_space_group_name_H-M 'P 1'
_symmetry_Int_Tables_number 1
loop_
_symmetry_equiv_pos_as_xyz
'x,y,z'
loop_
_atom_site_label
_atom_site_fract_x
_atom_site_fract_y
_atom_site_fract_z
S1 0.5000 0.0000 0.0000
S2 0.0000 0.0000 0.5000
S3 0.0000 0.5000 0.0000
Si1 0.0000 0.0000 0.0000
Co1 0.5000 0.5000 0.5000
# ΔE_f (raw) = 0.64 eV/atom
# Final energy = -4.347 eV per atom
# DOS(E_F) = 5.5 states/eV/cell
# Offset from the most stable computed form = 48 kJ/mol of formula units